(1)
Below is PmThBe after structural relaxation, with properties calculated at the PBE-GGA level.

Results
offset from the most stable computed form = 0.000 eV per atom
density = 8.01 g/cm³
symmetry = F-43m, No. 216
energy = -4.964 eV per atom

a = 4.837 Å, b = 4.837 Å, c = 4.837 Å
α = 60.00°, β = 60.00°, γ = 60.00°
Fractional coordinates of all 3 atoms:
Pm 0.000 0.000 0.000
Th 0.500 0.500 0.500
Be 0.250 0.250 0.250

(2)
Below is PmTmBe after structural relaxation, with properties calculated at the PBE-GGA level.

Results
offset from the most stable computed form = 0.000 eV per atom
density = 7.09 g/cm³
symmetry = F-43m, No. 216
energy = -3.459 eV per atom

a = 4.748 Å, b = 4.748 Å, c = 4.748 Å
α = 60.00°, β = 60.00°, γ = 60.00°
Fractional coordinates of all 3 atoms:
Pm 0.000 0.000 0.000
Tm 0.750 0.750 0.750
Be 0.500 0.500 0.500

(3)
Below is PmUBe after structural relaxation, with properties calculated at the PBE-GGA level.

Results
offset from the most stable computed form = 0.000 eV per atom
density = 9.08 g/cm³
symmetry = F-43m, No. 216
energy = -5.790 eV per atom

a = 4.663 Å, b = 4.663 Å, c = 4.663 Å
α = 60.00°, β = 60.00°, γ = 60.00°
Fractional coordinates of all 3 atoms:
Pm 0.000 0.000 0.000
U 0.500 0.500 0.500
Be 0.250 0.250 0.250

(4)
Below is PmY2Be4 after structural relaxation, with properties calculated at the PBE-GGA level.

Results
density = 4.51 g/cm³
symmetry = C2/m, No. 12
energy = -4.519 eV per atom

a = 5.406 Å, b = 5.406 Å, c = 5.721 Å
α = 117.31°, β = 117.31°, γ = 76.84°
Fractional coordinates of all 7 atoms:
Pm 0.000 0.000 0.000
Y 0.263 0.263 0.697
Y 0.737 0.737 0.303
Be 0.254 0.571 0.272
Be 0.429 0.746 0.728
Be 0.571 0.254 0.272
Be 0.746 0.429 0.728

(5)
Below is PmYBe after structural relaxation, with properties calculated at the PBE-GGA level.

Results
density = 5.14 g/cm³
symmetry = F-43m, No. 216
energy = -4.080 eV per atom

a = 4.805 Å, b = 4.805 Å, c = 4.805 Å
α = 60.00°, β = 60.00°, γ = 60.00°
Fractional coordinates of all 3 atoms:
Pm 0.000 0.000 0.000
Y 0.750 0.750 0.750
Be 0.500 0.500 0.500

(6)
Below is PmBeZn after structural relaxation, with properties calculated at the PBE-GGA level.

Results
offset from the most stable computed form = 0.381 eV per atom
density = 5.10 g/cm³
symmetry = F-43m, No. 216
energy = -2.651 eV per atom

a = 4.657 Å, b = 4.657 Å, c = 4.657 Å
α = 60.00°, β = 60.00°, γ = 60.00°
Fractional coordinates of all 3 atoms:
Pm 0.000 0.000 0.000
Be 0.750 0.750 0.750
Zn 0.250 0.250 0.250

(7)
Below is PmBeZn after structural relaxation, with properties calculated at the PBE-GGA level.

Results
offset from the most stable computed form = 0.000 eV per atom
density = 5.61 g/cm³
symmetry = F-43m, No. 216
energy = -3.032 eV per atom

a = 4.512 Å, b = 4.512 Å, c = 4.512 Å
α = 60.00°, β = 60.00°, γ = 60.00°
Fractional coordinates of all 3 atoms:
Pm 0.000 0.000 0.000
Be 0.500 0.500 0.500
Zn 0.750 0.750 0.750

(8)
Below is PmZrBe after structural relaxation, with properties calculated at the PBE-GGA level.

Results
density = 5.62 g/cm³
symmetry = F-43m, No. 216
energy = -4.417 eV per atom

a = 4.680 Å, b = 4.680 Å, c = 4.680 Å
α = 60.00°, β = 60.00°, γ = 60.00°
Fractional coordinates of all 3 atoms:
Pm 0.000 0.000 0.000
Zr 0.250 0.250 0.250
Be 0.750 0.750 0.750

(9)
Below is PrBe after structural relaxation, with properties calculated at the PBE-GGA level.

Results
offset from the most stable computed form = 0.016 eV per atom
density = 4.71 g/cm³
symmetry = Fm-3m, No. 225
energy = -3.644 eV per atom

a = 4.211 Å, b = 4.211 Å, c = 4.211 Å
α = 60.00°, β = 60.00°, γ = 60.00°
Fractional coordinates of all 2 atoms:
Pr 0.000 0.000 0.000
Be 0.500 0.500 0.500

(10)
Below is PrBe14 after structural relaxation, with properties calculated at the PBE-GGA level.

Results
density = 2.72 g/cm³
symmetry = R-3m, No. 166
energy = -3.527 eV per atom

a = 5.629 Å, b = 5.629 Å, c = 5.629 Å
α = 75.02°, β = 75.02°, γ = 75.02°
Fractional coordinates of all 15 atoms:
Pr 0.000 0.000 0.000
Be 0.161 0.500 0.839
Be 0.161 0.839 0.500
Be 0.215 0.215 0.215
Be 0.241 0.241 0.562
Be 0.241 0.562 0.241
Be 0.438 0.759 0.759
Be 0.500 0.161 0.839
Be 0.500 0.839 0.161
Be 0.562 0.241 0.241
Be 0.759 0.438 0.759
Be 0.759 0.759 0.438
Be 0.785 0.785 0.785
Be 0.839 0.161 0.500
Be 0.839 0.500 0.161

(11)
Below is PrBe after structural relaxation, with properties calculated at the PBE-GGA level.

Results
offset from the most stable computed form = 0.585 eV per atom
density = 3.78 g/cm³
symmetry = F-43m, No. 216
energy = -3.074 eV per atom

a = 4.535 Å, b = 4.535 Å, c = 4.535 Å
α = 60.00°, β = 60.00°, γ = 60.00°
Fractional coordinates of all 2 atoms:
Pr 0.000 0.000 0.000
Be 0.250 0.250 0.250

(12)
Below is PrBe after structural relaxation, with properties calculated at the PBE-GGA level.

Results
offset from the most stable computed form = 0.000 eV per atom
density = 4.99 g/cm³
symmetry = P-6m2, No. 187
energy = -3.659 eV per atom

a = 3.658 Å, b = 3.658 Å, c = 4.303 Å
α = 90.00°, β = 90.00°, γ = 120.00°
Fractional coordinates of all 2 atoms:
Pr 0.000 0.000 0.000
Be 0.333 0.667 0.500

(13)
Below is Pr2Be after structural relaxation, with properties calculated at the PBE-GGA level.

Results
offset from the most stable computed form = 0.000 eV per atom
density = 5.37 g/cm³
symmetry = Fd-3m, No. 227
energy = -3.432 eV per atom

a = 6.338 Å, b = 6.338 Å, c = 6.338 Å
α = 60.00°, β = 60.00°, γ = 60.00°
Fractional coordinates of all 6 atoms:
Pr 0.000 0.000 0.000
Pr 0.000 0.000 0.500
Pr 0.000 0.500 0.000
Pr 0.500 0.000 0.000
Be 0.375 0.375 0.375
Be 0.625 0.625 0.625

(14)
Below is RbPrBe after structural relaxation, with properties calculated at the PBE-GGA level.

Results
density = 3.90 g/cm³
symmetry = F-43m, No. 216
energy = -1.899 eV per atom

a = 5.216 Å, b = 5.216 Å, c = 5.216 Å
α = 60.00°, β = 60.00°, γ = 60.00°
Fractional coordinates of all 3 atoms:
Rb 0.000 0.000 0.000
Pr 0.750 0.750 0.750
Be 0.500 0.500 0.500

(15)
Below is PrBeRe after structural relaxation, with properties calculated at the PBE-GGA level.

Results
offset from the most stable computed form = 0.000 eV per atom
density = 9.55 g/cm³
symmetry = F-43m, No. 216
energy = -6.205 eV per atom

a = 4.357 Å, b = 4.357 Å, c = 4.357 Å
α = 60.00°, β = 60.00°, γ = 60.00°
Fractional coordinates of all 3 atoms:
Pr 0.000 0.000 0.000
Be 0.250 0.250 0.250
Re 0.500 0.500 0.500

(16)
Below is PrBeSb after structural relaxation, with properties calculated at the PBE-GGA level.

Results
density = 5.00 g/cm³
symmetry = F-43m, No. 216
energy = -3.988 eV per atom

a = 5.034 Å, b = 5.034 Å, c = 5.034 Å
α = 60.00°, β = 60.00°, γ = 60.00°
Fractional coordinates of all 3 atoms:
Pr 0.000 0.000 0.000
Be 0.750 0.750 0.750
Sb 0.250 0.250 0.250

(17)
Below is PrScBe2Si2 after structural relaxation, with properties calculated at the PBE-GGA level.

Results
density = 4.18 g/cm³
symmetry = P-3m1, No. 164
energy = -5.490 eV per atom

a = 3.870 Å, b = 3.870 Å, c = 7.959 Å
α = 90.00°, β = 90.00°, γ = 120.00°
Fractional coordinates of all 6 atoms:
Pr 0.000 0.000 0.000
Sc 0.000 0.000 0.500
Be 0.333 0.667 0.724
Be 0.667 0.333 0.276
Si 0.333 0.667 0.275
Si 0.667 0.333 0.725

(18)
Below is Pr2BeSi3 after structural relaxation, with properties calculated at the PBE-GGA level.

Results
density = 5.22 g/cm³
symmetry = Pmm2, No. 25
energy = -5.592 eV per atom

a = 4.000 Å, b = 4.329 Å, c = 6.886 Å
α = 90.00°, β = 90.00°, γ = 90.00°
Fractional coordinates of all 6 atoms:
Pr 0.000 0.000 0.000
Pr 0.500 0.000 0.499
Be 0.000 0.500 0.673
Si 0.000 0.500 0.348
Si 0.500 0.500 0.164
Si 0.500 0.500 0.819

(19)
Below is PrTmBe2Si2 after structural relaxation, with properties calculated at the PBE-GGA level.

Results
density = 5.86 g/cm³
symmetry = P-3m1, No. 164
energy = -5.205 eV per atom

a = 3.906 Å, b = 3.906 Å, c = 8.238 Å
α = 90.00°, β = 90.00°, γ = 120.00°
Fractional coordinates of all 6 atoms:
Pr 0.000 0.000 0.000
Tm 0.000 0.000 0.500
Be 0.333 0.667 0.264
Be 0.667 0.333 0.736
Si 0.333 0.667 0.735
Si 0.667 0.333 0.265

(20)
Below is Pr2BeZnSi2 after structural relaxation, with properties calculated at the PBE-GGA level.

Results
density = 5.52 g/cm³
symmetry = P-6m2, No. 187
energy = -4.825 eV per atom

a = 4.089 Å, b = 4.089 Å, c = 8.566 Å
α = 90.00°, β = 90.00°, γ = 120.00°
Fractional coordinates of all 6 atoms:
Pr 0.000 0.000 0.245
Pr 0.000 0.000 0.755
Be 0.667 0.333 0.000
Zn 0.333 0.667 0.500
Si 0.333 0.667 0.000
Si 0.667 0.333 0.500

(21)
Below is PrZrBe2Si2 after structural relaxation, with properties calculated at the PBE-GGA level.

Results
density = 5.01 g/cm³
symmetry = P-3m1, No. 164
energy = -5.931 eV per atom

a = 3.831 Å, b = 3.831 Å, c = 7.982 Å
α = 90.00°, β = 90.00°, γ = 120.00°
Fractional coordinates of all 6 atoms:
Pr 0.000 0.000 0.000
Zr 0.000 0.000 0.500
Be 0.333 0.667 0.718
Be 0.667 0.333 0.282
Si 0.333 0.667 0.273
Si 0.667 0.333 0.727

(22)
Below is PrBeSn after structural relaxation, with properties calculated at the PBE-GGA level.

Results
density = 5.57 g/cm³
symmetry = F-43m, No. 216
energy = -4.013 eV per atom

a = 4.837 Å, b = 4.837 Å, c = 4.837 Å
α = 60.00°, β = 60.00°, γ = 60.00°
Fractional coordinates of all 3 atoms:
Pr 0.000 0.000 0.000
Be 0.500 0.500 0.500
Sn 0.750 0.750 0.750

(23)
Below is PrBeSn after structural relaxation, with properties calculated at the PBE-GGA level.

Results
density = 5.10 g/cm³
symmetry = F-43m, No. 216
energy = -3.750 eV per atom

a = 4.981 Å, b = 4.981 Å, c = 4.981 Å
α = 60.00°, β = 60.00°, γ = 60.00°
Fractional coordinates of all 3 atoms:
Pr 0.000 0.000 0.000
Be 0.750 0.750 0.750
Sn 0.250 0.250 0.250

(24)
Below is SrPrBe after structural relaxation, with properties calculated at the PBE-GGA level.

Results
density = 4.11 g/cm³
symmetry = F-43m, No. 216
energy = -2.938 eV per atom

a = 5.137 Å, b = 5.137 Å, c = 5.137 Å
α = 60.00°, β = 60.00°, γ = 60.00°
Fractional coordinates of all 3 atoms:
Sr 0.000 0.000 0.000
Pr 0.500 0.500 0.500
Be 0.750 0.750 0.750

(25)
Below is TbPrBe after structural relaxation, with properties calculated at the PBE-GGA level.

Results
density = 6.31 g/cm³
symmetry = F-43m, No. 216
energy = -3.460 eV per atom

a = 4.861 Å, b = 4.861 Å, c = 4.861 Å
α = 60.00°, β = 60.00°, γ = 60.00°
Fractional coordinates of all 3 atoms:
Tb 0.000 0.000 0.000
Pr 0.750 0.750 0.750
Be 0.500 0.500 0.500

(26)
Below is PrBeTc after structural relaxation, with properties calculated at the PBE-GGA level.

Results
offset from the most stable computed form = 0.928 eV per atom
density = 6.28 g/cm³
symmetry = F-43m, No. 216
energy = -4.798 eV per atom

a = 4.525 Å, b = 4.525 Å, c = 4.525 Å
α = 60.00°, β = 60.00°, γ = 60.00°
Fractional coordinates of all 3 atoms:
Pr 0.000 0.000 0.000
Be 0.750 0.750 0.750
Tc 0.250 0.250 0.250

(27)
Below is PrBeTc after structural relaxation, with properties calculated at the PBE-GGA level.

Results
offset from the most stable computed form = 0.000 eV per atom
density = 7.03 g/cm³
symmetry = F-43m, No. 216
energy = -5.726 eV per atom

a = 4.359 Å, b = 4.359 Å, c = 4.359 Å
α = 60.00°, β = 60.00°, γ = 60.00°
Fractional coordinates of all 3 atoms:
Pr 0.000 0.000 0.000
Be 0.250 0.250 0.250
Tc 0.500 0.500 0.500

(28)
Below is PrBeTe after structural relaxation, with properties calculated at the PBE-GGA level.

Results
offset from the most stable computed form = 0.206 eV per atom
density = 4.94 g/cm³
symmetry = F-43m, No. 216
energy = -3.785 eV per atom

a = 5.092 Å, b = 5.092 Å, c = 5.092 Å
α = 60.00°, β = 60.00°, γ = 60.00°
Fractional coordinates of all 3 atoms:
Pr 0.000 0.000 0.000
Be 0.750 0.750 0.750
Te 0.250 0.250 0.250

(29)
Below is PrBeTe after structural relaxation, with properties calculated at the PBE-GGA level.

Results
offset from the most stable computed form = 0.000 eV per atom
density = 6.15 g/cm³
symmetry = F-43m, No. 216
energy = -3.991 eV per atom

a = 4.732 Å, b = 4.732 Å, c = 4.732 Å
α = 60.00°, β = 60.00°, γ = 60.00°
Fractional coordinates of all 3 atoms:
Pr 0.000 0.000 0.000
Be 0.250 0.250 0.250
Te 0.500 0.500 0.500

(30)
Below is PrBeTe after structural relaxation, with properties calculated at the PBE-GGA level.

Results
offset from the most stable computed form = 0.314 eV per atom
density = 5.07 g/cm³
symmetry = F-43m, No. 216
energy = -3.677 eV per atom

a = 5.047 Å, b = 5.047 Å, c = 5.047 Å
α = 60.00°, β = 60.00°, γ = 60.00°
Fractional coordinates of all 3 atoms:
Pr 0.000 0.000 0.000
Be 0.500 0.500 0.500
Te 0.750 0.750 0.750

(31)
Below is PrThBe after structural relaxation, with properties calculated at the PBE-GGA level.

Results
offset from the most stable computed form = 0.000 eV per atom
density = 7.76 g/cm³
symmetry = F-43m, No. 216
energy = -4.960 eV per atom

a = 4.872 Å, b = 4.872 Å, c = 4.872 Å
α = 60.00°, β = 60.00°, γ = 60.00°
Fractional coordinates of all 3 atoms:
Pr 0.000 0.000 0.000
Th 0.500 0.500 0.500
Be 0.250 0.250 0.250